Entry 1:
Here is an optimized crystal structure of ScFeSiAs2 from Alexandria via LeMat-Bulk. Energies are from PBE-GGA.

abc: 4.698 4.872 4.698
angles: 90.00 90.00 90.00
Element x y z (fractional)
Sc: 0.000 0.500 0.000
As: 0.000 0.000 0.500
As: 0.500 0.000 0.000
Si: 0.000 0.000 0.000
Fe: 0.500 0.500 0.500

Values from the calculation:
SG: P4/mmm (123)
magnetization: 2.95 Bohr magnetons per cell
energy relative to the elements, uncorrected: 3.60 eV per formula unit

---

Entry 2:
Here is an optimized crystal structure of ScFeSnAs2 from Alexandria via LeMat-Bulk. Energies are from PBE-GGA.

abc: 5.211 5.348 5.211
angles: 90.00 90.00 90.00
Element x y z (fractional)
Sc: 0.000 0.500 0.000
As: 0.000 0.000 0.500
As: 0.500 0.000 0.000
Sn: 0.000 0.000 0.000
Fe: 0.500 0.500 0.500

Values from the calculation:
SG: P4/mmm (123)
energy above the most stable polymorph in this dataset: 1.75 eV per formula unit
magnetization: 3.19 Bohr magnetons per cell
energy relative to the elements: 5.7 eV/f.u.

---

Entry 3:
Here is an optimized crystal structure of ScFeSnAs2 from Alexandria via LeMat-Bulk. Energies are from PBE-GGA.

abc: 5.225 4.712 5.225
angles: 90.00 90.00 90.00
Element x y z (fractional)
Sc: 0.500 0.500 0.500
As: 0.000 0.000 0.500
As: 0.500 0.000 0.000
Sn: 0.000 0.000 0.000
Fe: 0.000 0.500 0.000

Values from the calculation:
SG: P4/mmm (123)
energy above the most stable polymorph in this dataset: 0.00 eV per formula unit
magnetization: 2.19 Bohr magnetons per cell
energy relative to the elements: 3.9 eV/f.u.

---

Entry 4:
Here is an optimized crystal structure of Fe2AsSe from Alexandria via LeMat-Bulk. Energies are from PBE-GGA.

abc: 3.036 3.036 6.062
angles: 90.00 90.00 90.00
Element x y z (fractional)
As: 0.500 0.500 0.750
Fe: 0.000 0.000 0.992
Fe: 0.000 0.000 0.508
Se: 0.500 0.500 0.250

Values from the calculation:
SG: P4/mmm (123)
magnetization: 3.92 Bohr magnetons per cell
energy relative to the elements, uncorrected: 0.75 eV per formula unit

---

Entry 5:
Here is an optimized crystal structure of FeAs2Se from Alexandria via LeMat-Bulk. Energies are from PBE-GGA.

abc: 5.417 3.719 3.719
angles: 90.00 90.00 90.00
Element x y z (fractional)
As: 0.000 0.000 0.000
As: 0.000 0.500 0.500
Fe: 0.500 0.500 0.000
Se: 0.500 0.000 0.500

Values from the calculation:
SG: P4/mmm (123)
magnetization: 3.08 Bohr magnetons per cell
energy relative to the elements, uncorrected: 1.93 eV per formula unit

---

Entry 6:
Here is an optimized crystal structure of FeAs3Se from Alexandria via LeMat-Bulk. Energies are from PBE-GGA.

abc: 4.356 4.808 9.731
angles: 74.86 101.16 88.76
Element x y z (fractional)
Fe: 0.371 0.714 0.266
Fe: 0.629 0.286 0.734
As: 0.732 0.378 0.470
As: 0.268 0.622 0.530
As: 0.733 0.364 0.970
As: 0.267 0.636 0.030
As: 0.814 0.901 0.187
As: 0.186 0.099 0.813
Se: 0.242 0.186 0.314
Se: 0.758 0.814 0.686

Values from the calculation:
SG: P-1 (2)
energy above the most stable polymorph in this dataset: 0.00 eV per formula unit
magnetization: 2.30 Bohr magnetons per cell
energy relative to the elements, uncorrected: 0.48 eV per formula unit

---

Entry 7:
Here is an optimized crystal structure of Fe2AsSe from Alexandria via LeMat-Bulk. Energies are from PBE-GGA.

abc: 9.553 9.553 9.553
angles: 17.89 17.89 17.89
Element x y z (fractional)
As: 0.720 0.720 0.720
Fe: 0.990 0.990 0.990
Fe: 0.258 0.258 0.258
Se: 0.532 0.532 0.532

Values from the calculation:
SG: R3m (160)
magnetization: 4.32 Bohr magnetons per cell
energy relative to the elements, uncorrected: 0.36 eV per formula unit

---

Entry 8:
Here is an optimized crystal structure of FeAs2Se from Alexandria via LeMat-Bulk. Energies are from PBE-GGA.

abc: 4.726 4.726 3.298
angles: 90.00 90.00 107.78
Element x y z (fractional)
As: 0.000 0.000 0.000
As: 0.500 0.500 0.000
Fe: 0.500 0.000 0.500
Se: 0.000 0.500 0.500

Values from the calculation:
SG: Cmmm (65)
magnetization: 2.41 Bohr magnetons per cell
energy relative to the elements, uncorrected: 2.09 eV per formula unit